# 1
# La2PmAg5 PBE optimized geometry
data_La2PmAg5
_chemical_formula_sum 'La4 Pm2 Ag10'
_cell_length_a 5.214
_cell_length_b 5.214
_cell_length_c 14.779
_cell_angle_alpha 90.00
_cell_angle_beta 90.00
_cell_angle_gamma 90.00
_symmetry_space_group_name_H-M 'I 4/m m m'
_symmetry_Int_Tables_number 139
_symmetry_space_group_name_Hall '-I 4 2'
loop_
_atom_site_label
_atom_site_type_symbol
_atom_site_fract_x
_atom_site_fract_y
_atom_site_fract_z
La1 La 0.000 0.000 0.228
Pm1 Pm 0.000 0.000 0.500
Ag1 Ag 0.000 0.000 0.000
Ag2 Ag 0.000 0.500 0.111
# E: -0.2799 Ry per atom
# ΔH_f (0 K): -200 meV per atom


# 2
# LaPmPrAg PBE optimized geometry
data_LaPmPrAg
_chemical_formula_sum 'La4 Pm4 Pr4 Ag4'
_cell_length_a 7.897
_cell_length_b 7.897
_cell_length_c 7.897
_cell_angle_alpha 90.00
_cell_angle_beta 90.00
_cell_angle_gamma 90.00
_symmetry_space_group_name_H-M 'F -4 3 m'
_symmetry_Int_Tables_number 216
_symmetry_space_group_name_Hall 'F -4 2 3'
loop_
_atom_site_label
_atom_site_type_symbol
_atom_site_fract_x
_atom_site_fract_y
_atom_site_fract_z
La1 La 0.000 0.000 0.000
Pm1 Pm 0.250 0.250 0.750
Pr1 Pr 0.000 0.000 0.500
Ag1 Ag 0.250 0.250 0.250
# E: -0.3124 Ry per atom
# Relative energy among the computed polymorphs: 189.9 meV/atom
# ΔH_f (0 K): 77 meV per atom